# Pm2ScGa3Ni4

A relaxed Pm2ScGa3Ni4 crystal (PBE, the Alexandria database).

## Properties
ΔE_f   -0.5419 eV per atom
Density of states at the Fermi level   0.74 states/eV/atom
Total energy   -5.3457 eV/atom

abc: 4.096 4.096 10.551
angles: 90.00 90.00 90.00
Fractional coordinates of all 10 atoms:
Pm (0.000, 0.500, 0.233)
Pm (0.500, 0.000, 0.767)
Sc (0.000, 0.000, 0.500)
Ga (0.000, 0.500, 0.879)
Ga (0.500, 0.000, 0.121)
Ga (0.500, 0.500, 0.500)
Ni (0.000, 0.000, 0.000)
Ni (0.000, 0.500, 0.649)
Ni (0.500, 0.000, 0.351)
Ni (0.500, 0.500, 0.000)

# Pm3GaSi2Ni9

A relaxed Pm3GaSi2Ni9 crystal (PBE, the Alexandria database).

## Properties
Uncorrected formation energy   -28.4 kJ per mole of atoms
Density of states at the Fermi level   0.56 states/eV/atom
Total energy   -5.6377 eV/atom

abc: 5.879 5.879 8.522
angles: 90.00 90.00 120.00
Fractional coordinates of all 15 atoms:
Pm (0.000, 0.000, 0.000)
Pm (0.333, 0.667, 0.666)
Pm (0.667, 0.333, 0.334)
Ga (0.000, 0.000, 0.500)
Si (0.333, 0.667, 0.177)
Si (0.667, 0.333, 0.823)
Ni (0.000, 0.500, 0.000)
Ni (0.139, 0.279, 0.280)
Ni (0.139, 0.861, 0.280)
Ni (0.279, 0.139, 0.720)
Ni (0.500, 0.000, 0.000)
Ni (0.500, 0.500, 0.000)
Ni (0.721, 0.861, 0.280)
Ni (0.861, 0.139, 0.720)
Ni (0.861, 0.721, 0.720)